Record 1
Entry from the Alexandria database: crystalline CaLa2Cd2 at its relaxed geometry (PBE-GGA).

Values from the calculation:
Relative energy among the computed polymorphs (eV/atom): 0.000

Lattice parameters (Å, degrees): 3.7345 5.5950 15.0786 90.00 97.12 90.00
Space group P2_1/m (No. 11)
Asymmetric unit:
Ca 0.1467 0.2500 0.2930
La 0.0450 0.7500 0.0895
La 0.2320 0.7500 0.4650
Cd 0.3613 0.2500 0.7228
Cd 0.4454 0.7500 0.8911

***

Record 2
Entry from the Alexandria database: crystalline Ca2LaCd at its relaxed geometry (PBE-GGA).

Lattice parameters (Å, degrees): 5.5090 5.5090 18.8373 90.00 90.00 90.00
Space group I4/mmm (No. 139)
Asymmetric unit:
Ca 0.0000 0.0000 0.1497
Ca 0.0000 0.5000 0.0000
La 0.0000 0.0000 0.3477
Cd 0.0000 0.5000 0.2500

***

Record 3
Entry from the Alexandria database: crystalline Ca2LaCd6 at its relaxed geometry (PBE-GGA).

Lattice parameters (Å, degrees): 8.7880 8.7880 3.5825 90.00 90.00 120.00
Space group P6/mmm (No. 191)
Asymmetric unit:
Ca 0.3333 0.6667 0.0000
La 0.0000 0.0000 0.0000
Cd 0.0000 0.3360 0.5000

***

Record 4
Entry from the Alexandria database: crystalline Ca2LaCd at its relaxed geometry (PBE-GGA).

Lattice parameters (Å, degrees): 3.8218 3.8218 34.2164 90.00 90.00 120.00
Space group R3m (No. 160, hexagonal axes)
Asymmetric unit:
Ca 0.0000 0.0000 0.0000
Ca 0.0000 0.0000 0.2381
La 0.0000 0.0000 0.4784
Cd 0.0000 0.0000 0.7368

***

Number 1: DFT formation energy -257 meV/atom. Number 2: DFT formation energy -158 meV/atom. Number 3: DFT formation energy -343 meV/atom. Number 4: DFT formation energy -61 meV/atom.